DFT (PBE-GGA) results for a relaxed RbCuBiAu crystal.

a = 5.2339 Å, b = 5.2339 Å, c = 5.2339 Å
α = 60.00°, β = 60.00°, γ = 60.00°
Positions (direct):
Rb 0.0000 0.0000 0.0000
Cu 0.5000 0.5000 0.5000
Bi 0.2500 0.2500 0.2500
Au 0.7500 0.7500 0.7500

## Properties
calculated total energy = -2.559 eV per atom

DFT (PBE-GGA) results for a relaxed RbCuBiAu crystal.

a = 5.2131 Å, b = 5.2131 Å, c = 5.2131 Å
α = 60.00°, β = 60.00°, γ = 60.00°
Positions (direct):
Rb 0.0000 0.0000 0.0000
Cu 0.2500 0.2500 0.2500
Bi 0.7500 0.7500 0.7500
Au 0.5000 0.5000 0.5000

## Properties
calculated total energy = -2.599 eV per atom

DFT (PBE-GGA) results for a relaxed RbCuBiAu crystal.

a = 5.2730 Å, b = 5.2730 Å, c = 5.2730 Å
α = 60.00°, β = 60.00°, γ = 60.00°
Positions (direct):
Rb 0.0000 0.0000 0.0000
Cu 0.2500 0.2500 0.2500
Bi 0.5000 0.5000 0.5000
Au 0.7500 0.7500 0.7500

## Properties
calculated total energy = -2.749 eV per atom

DFT (PBE-GGA) results for a relaxed CuReBiAu crystal.

a = 4.7492 Å, b = 4.7492 Å, c = 4.7492 Å
α = 60.00°, β = 60.00°, γ = 60.00°
Positions (direct):
Cu 0.0000 0.0000 0.0000
Re 0.7500 0.7500 0.7500
Bi 0.2500 0.2500 0.2500
Au 0.5000 0.5000 0.5000

## Properties
magnetic moment = 2.5 μB per cell
calculated total energy = -4.900 eV per atom

DFT (PBE-GGA) results for a relaxed CuReBiAu crystal.

a = 4.6567 Å, b = 4.6567 Å, c = 4.6567 Å
α = 60.00°, β = 60.00°, γ = 60.00°
Positions (direct):
Cu 0.0000 0.0000 0.0000
Re 0.5000 0.5000 0.5000
Bi 0.2500 0.2500 0.2500
Au 0.7500 0.7500 0.7500

## Properties
magnetic moment = 0.0 μB per cell
calculated total energy = -5.141 eV per atom

DFT (PBE-GGA) results for a relaxed TaCuBiAu crystal.

a = 4.8057 Å, b = 4.8057 Å, c = 4.8057 Å
α = 60.00°, β = 60.00°, γ = 60.00°
Positions (direct):
Ta 0.0000 0.0000 0.0000
Cu 0.7500 0.7500 0.7500
Bi 0.5000 0.5000 0.5000
Au 0.2500 0.2500 0.2500

## Properties
magnetic moment = 0.5 μB per cell
calculated total energy = -5.115 eV per atom